10
Lattice="3.6091 0.0000 0.0000 0.0000 6.3569 6.4105 0.0000 -6.3569 6.4105" Properties=species:S:1:pos:R:3 comment="Dy3Ho4Sc3 (PBE, relaxed)" space_group="Amm2 (38)" formation_enthalpy_0k_ev_per_atom=0.088 pbc="T T T"
Dy 0.0000 0.0000 0.0000
Dy 1.8046 -3.1526 7.4422
Dy 1.8046 3.1526 7.4422
Ho 1.8046 0.0000 2.6582
Ho 1.8046 0.0000 5.9058
Ho 1.8046 -1.6585 10.5718
Ho 1.8046 1.6585 10.5718
Sc 0.0000 -2.1493 4.2528
Sc 0.0000 2.1493 4.2528
Sc 0.0000 0.0000 8.4610

---

12
Lattice="4.0940 -6.3140 0.0000 4.0940 6.3140 0.0000 -2.1582 0.0000 7.3079" Properties=species:S:1:pos:R:3 comment="PPb6Se2Br3 (PBE, relaxed)" space_group="C2/m (12)" formation_energy_uncorrected_ev_per_atom=-0.4479 pbc="T T T"
P 0.0000 0.0000 0.0000
Pb 1.4336 1.9821 1.5460
Pb 0.2756 0.0000 5.7491
Pb 1.4336 -1.9821 1.5460
Pb 4.5961 1.9821 5.7619
Pb 5.7542 0.0000 1.5588
Pb 4.5961 -1.9821 5.7619
Se 4.0940 2.0785 0.0000
Se 4.0940 -2.0785 0.0000
Br 3.0149 4.1752 3.6539
Br 3.0149 0.0000 3.6539
Br 3.0149 -4.1752 3.6539

---

5
Lattice="5.2414 0.0000 0.0000 0.0000 5.2414 0.0000 0.0000 0.0000 4.3575" Properties=species:S:1:pos:R:3 comment="TlAgS2N (PBE, relaxed)" space_group="P4/mmm (123)" de_polymorph_mev_per_atom=312 formation_energy_uncorrected_ev_per_atom=1.3258 pbc="T T T"
Tl 0.0000 0.0000 0.0000
Ag 2.6207 2.6207 2.1788
S 0.0000 2.6207 0.0000
S 2.6207 0.0000 0.0000
N 0.0000 0.0000 2.1788

---

16
Lattice="7.1124 0.0000 0.0000 0.0000 14.3114 0.0000 0.0000 0.0000 4.8064" Properties=species:S:1:pos:R:3 comment="Tl2HgPb5 (PBE, relaxed)" space_group="Pbam (55)" formation_enthalpy_0k_ev_per_atom=0.007 de_polymorph_mev_per_atom=9 pbc="T T T"
Tl 1.7029 1.7303 0.0000
Tl 1.8533 8.8860 0.0000
Tl 5.2591 5.4254 0.0000
Tl 5.4095 12.5811 0.0000
Hg 0.0000 0.0000 2.4032
Hg 3.5562 7.1557 2.4032
Pb 0.0000 7.1557 2.4032
Pb 0.0329 10.6890 2.4032
Pb 1.7724 5.3701 0.0000
Pb 1.7838 12.5258 0.0000
Pb 3.5234 3.5333 2.4032
Pb 3.5562 0.0000 2.4032
Pb 3.5891 10.7781 2.4032
Pb 5.3286 1.7855 0.0000
Pb 5.3400 8.9412 0.0000
Pb 7.0796 3.6224 2.4032